Record 1
Crystalline SmMnTlBr6 at its relaxed geometry. Source: the Alexandria database, functional PBE-GGA.

Computed properties:
**Uncorrected formation energy**: -1.290 eV per atom
**N(E_F)**: 0.00 states/eV/f.u.
**Symmetry**: P-31c, No. 163
**Electronic total energy**: -75.81 eV for the cell shown
**Calculated volume**: 36.8 Å³ per atom

Unit cell a=7.239 b=7.239 c=14.597 alpha=90.00 beta=90.00 gamma=120.00
Each line ends with the local moment (μB).
Sites, in units of the cell vectors:
Tl (0.000, 0.000, 0.000)  0.01
Tl (0.000, 0.000, 0.500)  0.01
Mn (0.667, 0.333, 0.250)  4.41
Mn (0.333, 0.667, 0.750)  4.41
Br (0.379, 0.017, 0.140)  0.03
Br (0.362, 0.379, 0.860)  0.03
Br (0.017, 0.379, 0.640)  0.03
Br (0.362, 0.983, 0.640)  0.03
Br (0.017, 0.638, 0.860)  0.03
Br (0.983, 0.362, 0.140)  0.03
Br (0.621, 0.638, 0.640)  0.03
Br (0.638, 0.621, 0.140)  0.03
Br (0.621, 0.983, 0.860)  0.03
Br (0.379, 0.362, 0.360)  0.03
Br (0.638, 0.017, 0.360)  0.03
Br (0.983, 0.621, 0.360)  0.03
Sm (0.667, 0.333, 0.750)  0.01
Sm (0.333, 0.667, 0.250)  0.01

---

Record 2
Crystalline MnSnBr2 at its relaxed geometry. Source: the Alexandria database, functional PBE-GGA.

Computed properties:
**Excess energy over the best structure of this formula in the dataset**: 0.0021 eV per atom
**Uncorrected formation energy**: 0.166 eV per atom
**N(E_F)**: 3.41 states/eV/f.u.
**Symmetry**: Fm-3m, No. 225
**Electronic total energy**: -15.85 eV for the cell shown
**Calculated volume**: 25.1 Å³ per atom

Unit cell a=5.214 b=5.214 c=5.214 alpha=60.00 beta=60.00 gamma=60.00
Each line ends with the local moment (μB).
Sites, in units of the cell vectors:
Mn (0.000, 0.000, 0.000)  4.13
Sn (0.500, 0.500, 0.500)  -0.12
Br (0.750, 0.750, 0.750)  0.02
Br (0.250, 0.250, 0.250)  0.02

---

Record 3
Crystalline MnSnBr4 at its relaxed geometry. Source: the Alexandria database, functional PBE-GGA.

Computed properties:
**Excess energy over the best structure of this formula in the dataset**: 0.0285 eV per atom
**Uncorrected formation energy**: -0.729 eV per atom
**N(E_F)**: 0.00 states/eV/f.u.
**Symmetry**: C2/c, No. 15
**Electronic total energy**: -48.48 eV for the cell shown
**Calculated volume**: 34.6 Å³ per atom

Unit cell a=6.987 b=7.224 c=9.616 alpha=105.11 beta=104.15 gamma=108.46
Each line ends with the local moment (μB).
Sites, in units of the cell vectors:
Br (0.536, 0.264, 0.099)  0.05
Br (0.291, 0.059, 0.651)  0.04
Br (0.140, 0.408, 0.349)  0.04
Br (0.938, 0.166, 0.901)  0.05
Br (0.464, 0.736, 0.901)  0.05
Br (0.709, 0.941, 0.349)  0.04
Br (0.062, 0.834, 0.099)  0.05
Br (0.860, 0.592, 0.651)  0.04
Sn (0.330, 0.580, 0.160)  0.03
Sn (0.670, 0.420, 0.840)  0.03
Mn (0.178, 0.928, 0.857)  4.39
Mn (0.822, 0.072, 0.143)  4.39

---

Record 4
Crystalline Mn3Sn5Br16 at its relaxed geometry. Source: the Alexandria database, functional PBE-GGA.

Computed properties:
**Uncorrected formation energy**: -0.756 eV per atom
**N(E_F)**: 0.00 states/eV/f.u.
**Symmetry**: Cm, No. 8
**Electronic total energy**: -92.42 eV for the cell shown
**Calculated volume**: 34.6 Å³ per atom

Unit cell a=8.449 b=8.449 c=13.645 alpha=91.17 beta=91.17 gamma=58.41
Each line ends with the local moment (μB).
Sites, in units of the cell vectors:
Br (0.985, 0.525, 0.661)  0.03
Br (0.518, 0.022, 0.163)  0.04
Br (0.489, 0.489, 0.178)  0.06
Br (0.145, 0.677, 0.891)  0.03
Br (0.981, 0.981, 0.666)  0.03
Br (0.309, 0.822, 0.401)  0.03
Br (0.843, 0.843, 0.390)  0.05
Br (0.022, 0.518, 0.163)  0.04
Br (0.346, 0.346, 0.395)  0.07
Br (0.687, 0.687, 0.899)  0.03
Br (0.677, 0.145, 0.891)  0.03
Br (0.822, 0.309, 0.401)  0.03
Br (0.511, 0.511, 0.647)  0.00
Br (0.986, 0.986, 0.179)  0.06
Br (0.156, 0.156, 0.928)  0.00
Br (0.525, 0.985, 0.661)  0.03
Mn (0.165, 0.663, 0.288)  4.41
Mn (0.663, 0.165, 0.288)  4.41
Mn (0.833, 0.833, 0.779)  4.38
Sn (0.338, 0.338, 0.032)  0.01
Sn (0.161, 0.161, 0.287)  0.01
Sn (0.836, 0.329, 0.787)  0.01
Sn (0.329, 0.836, 0.787)  0.01
Sn (0.673, 0.673, 0.522)  0.02

---

Record 5
Crystalline MnSn3Br at its relaxed geometry. Source: the Alexandria database, functional PBE-GGA.

Computed properties:
**Excess energy over the best structure of this formula in the dataset**: 1.1154 eV per atom
**Uncorrected formation energy**: 0.953 eV per atom
**N(E_F)**: 4.10 states/eV/f.u.
**Symmetry**: Pm-3m, No. 221
**Electronic total energy**: -18.09 eV for the cell shown
**Calculated volume**: 37.1 Å³ per atom

Unit cell a=5.702 b=5.702 c=5.702 alpha=90.00 beta=90.00 gamma=90.00
Each line ends with the local moment (μB).
Sites, in units of the cell vectors:
Sn (0.500, 0.000, 0.000)  -0.04
Sn (0.000, 0.000, 0.500)  -0.07
Sn (0.000, 0.500, 0.000)  -0.10
Mn (0.500, 0.500, 0.500)  4.41
Br (0.000, 0.000, 0.000)  -0.02

---

Record 6
Crystalline MnSn3Br at its relaxed geometry. Source: the Alexandria database, functional PBE-GGA.

Computed properties:
**Excess energy over the best structure of this formula in the dataset**: 0.0000 eV per atom
**Uncorrected formation energy**: -0.162 eV per atom
**N(E_F)**: 0.00 states/eV/f.u.
**Symmetry**: Pm-3m, No. 221
**Electronic total energy**: -23.66 eV for the cell shown
**Calculated volume**: 24.3 Å³ per atom

Unit cell a=4.951 b=4.951 c=4.951 alpha=90.00 beta=90.00 gamma=90.00
Sites, in units of the cell vectors:
Br (0.500, 0.500, 0.500)
Sn (0.500, 0.000, 0.000)
Sn (0.000, 0.500, 0.000)
Sn (0.000, 0.000, 0.500)
Mn (0.000, 0.000, 0.000)

---

Record 7
Crystalline MnSnBr6 at its relaxed geometry. Source: the Alexandria database, functional PBE-GGA.

Computed properties:
**Excess energy over the best structure of this formula in the dataset**: 0.0522 eV per atom
**Uncorrected formation energy**: -0.564 eV per atom
**N(E_F)**: 3.31 states/eV/f.u.
**Symmetry**: R-3, No. 148
**Electronic total energy**: -27.72 eV for the cell shown
**Calculated volume**: 30.4 Å³ per atom

Unit cell a=6.775 b=6.776 c=7.262 alpha=62.17 beta=62.18 gamma=59.96
Each line ends with the local moment (μB).
Sites, in units of the cell vectors:
Br (0.569, 0.280, 0.267)  -0.04
Br (0.280, 0.884, 0.267)  -0.04
Br (0.884, 0.569, 0.267)  -0.04
Br (0.431, 0.720, 0.733)  -0.04
Br (0.720, 0.116, 0.733)  -0.04
Br (0.116, 0.431, 0.733)  -0.04
Mn (0.500, 0.500, 0.500)  3.23
Sn (0.000, 0.000, 0.000)  -0.04

---

Record 8
Crystalline MnSnBr4 at its relaxed geometry. Source: the Alexandria database, functional PBE-GGA.

Computed properties:
**Excess energy over the best structure of this formula in the dataset**: 0.0000 eV per atom
**Uncorrected formation energy**: -0.758 eV per atom
**N(E_F)**: 0.00 states/eV/f.u.
**Symmetry**: C2/m, No. 12
**Electronic total energy**: -24.41 eV for the cell shown
**Calculated volume**: 34.2 Å³ per atom

Unit cell a=4.077 b=8.177 c=7.322 alpha=118.84 beta=90.00 gamma=104.44
Each line ends with the local moment (μB).
Sites, in units of the cell vectors:
Sn (0.000, 0.000, 0.000)  0.01
Br (0.617, 0.234, 0.923)  0.03
Br (0.890, 0.780, 0.527)  0.06
Br (0.110, 0.220, 0.473)  0.06
Br (0.383, 0.766, 0.077)  0.03
Mn (0.500, 0.000, 0.500)  4.42

---

Record 9
Crystalline MnSn2Br6 at its relaxed geometry. Source: the Alexandria database, functional PBE-GGA.

Computed properties:
**Excess energy over the best structure of this formula in the dataset**: 0.0000 eV per atom
**Uncorrected formation energy**: -0.762 eV per atom
**N(E_F)**: 0.00 states/eV/f.u.
**Symmetry**: C2/m, No. 12
**Electronic total energy**: -34.07 eV for the cell shown
**Calculated volume**: 35.8 Å³ per atom

Unit cell a=4.182 b=8.370 c=9.701 alpha=100.75 beta=90.00 gamma=104.47
Each line ends with the local moment (μB).
Sites, in units of the cell vectors:
Mn (0.000, 0.000, 0.500)  4.40
Br (0.996, 0.992, 0.230)  0.03
Br (0.383, 0.766, 0.465)  0.06
Br (0.730, 0.460, 0.178)  0.01
Br (0.270, 0.540, 0.822)  0.01
Br (0.617, 0.234, 0.535)  0.06
Br (0.004, 0.008, 0.770)  0.03
Sn (0.354, 0.708, 0.166)  0.01
Sn (0.646, 0.292, 0.834)  0.01

---

Record 10
Crystalline MnSn2Br at its relaxed geometry. Source: the Alexandria database, functional PBE-GGA.

Computed properties:
**Excess energy over the best structure of this formula in the dataset**: 0.0128 eV per atom
**Uncorrected formation energy**: 0.394 eV per atom
**N(E_F)**: 3.06 states/eV/f.u.
**Symmetry**: Fm-3m, No. 225
**Electronic total energy**: -17.27 eV for the cell shown
**Calculated volume**: 25.5 Å³ per atom

Unit cell a=5.246 b=5.246 c=5.246 alpha=60.00 beta=60.00 gamma=60.00
Each line ends with the local moment (μB).
Sites, in units of the cell vectors:
Sn (0.750, 0.750, 0.750)  -0.06
Sn (0.250, 0.250, 0.250)  -0.06
Br (0.500, 0.500, 0.500)  0.01
Mn (0.000, 0.000, 0.000)  4.03

---

Record 11
Crystalline Mn5SnBr12 at its relaxed geometry. Source: the Alexandria database, functional PBE-GGA.

Computed properties:
**Uncorrected formation energy**: -0.773 eV per atom
**N(E_F)**: 0.00 states/eV/f.u.
**Symmetry**: C2/m, No. 12
**Electronic total energy**: -83.84 eV for the cell shown
**Calculated volume**: 32.0 Å³ per atom

Unit cell a=6.875 b=6.879 c=14.041 alpha=89.94 beta=89.87 gamma=60.02
Each line ends with the local moment (μB).
Sites, in units of the cell vectors:
Br (0.367, 0.634, 0.887)  -0.07
Br (0.366, 0.000, 0.113)  -0.07
Br (0.500, 0.333, 0.605)  0.10
Br (0.833, 0.667, 0.605)  0.10
Br (0.634, 0.000, 0.887)  -0.07
Br (0.001, 0.366, 0.887)  -0.07
Br (0.834, 0.000, 0.395)  0.10
Br (0.999, 0.634, 0.113)  -0.07
Br (0.166, 0.000, 0.605)  0.10
Br (0.500, 0.667, 0.395)  0.10
Br (0.633, 0.366, 0.113)  -0.07
Br (0.167, 0.333, 0.395)  0.10
Mn (0.167, 0.667, 0.500)  4.43
Mn (0.333, 0.333, 0.000)  -4.39
Mn (0.833, 0.333, 0.500)  4.43
Mn (0.500, 0.000, 0.500)  4.43
Mn (0.667, 0.667, 0.000)  -4.39
Sn (0.000, 0.000, 0.000)  -0.01

---

Record 12
Crystalline MnSnBr2 at its relaxed geometry. Source: the Alexandria database, functional PBE-GGA.

Computed properties:
**Excess energy over the best structure of this formula in the dataset**: 0.0000 eV per atom
**Uncorrected formation energy**: 0.164 eV per atom
**N(E_F)**: 8.98 states/eV/f.u.
**Symmetry**: I-42d, No. 122
**Electronic total energy**: -31.72 eV for the cell shown
**Calculated volume**: 25.1 Å³ per atom

Unit cell a=8.824 b=8.824 c=6.753 alpha=49.21 beta=49.21 gamma=90.00
Sites, in units of the cell vectors:
Br (0.375, 0.516, 0.750)
Br (0.266, 0.625, 0.250)
Br (0.484, 0.125, 0.250)
Br (0.875, 0.734, 0.750)
Mn (0.500, 0.500, 0.000)
Mn (0.250, 0.750, 0.500)
Sn (0.750, 0.250, 0.500)
Sn (0.000, 0.000, 0.000)

---

Record 13
Crystalline MnSnBr3 at its relaxed geometry. Source: the Alexandria database, functional PBE-GGA.

Computed properties:
**Uncorrected formation energy**: -0.303 eV per atom
**N(E_F)**: 3.94 states/eV/f.u.
**Symmetry**: Pm-3m, No. 221
**Electronic total energy**: -19.71 eV for the cell shown
**Calculated volume**: 29.6 Å³ per atom

Unit cell a=5.291 b=5.291 c=5.291 alpha=90.00 beta=90.00 gamma=90.00
Each line ends with the local moment (μB).
Sites, in units of the cell vectors:
Br (0.000, 0.500, 0.000)  0.07
Br (0.500, 0.000, 0.000)  0.07
Br (0.000, 0.000, 0.500)  0.05
Mn (0.000, 0.000, 0.000)  4.37
Sn (0.500, 0.500, 0.500)  0.27